(1)
Here is crystalline Ac4GeTe2Br at its relaxed geometry from Alexandria. Energies are from PBE-GGA.

Geometry as POSCAR:
```
Ac4GeTe2Br
1.0
4.643 0.000 0.000
0.000 8.182 -0.226
0.000 2.819 7.461
Te Ac Ge Br
2 4 1 1
Direct
0.000 0.000 0.000
0.500 0.000 0.500
0.500 0.273 0.729
0.000 0.736 0.739
0.500 0.727 0.271
0.000 0.264 0.261
0.000 0.500 0.500
0.500 0.500 0.000
```

Values from the calculation:
As for the energy relative to the elements, uncorrected: -10.42 eV/f.u. Its space group is P2/m, No. 10. The density of states at the Fermi level is 0.5984 states/eV per atom.

(2)
Here is crystalline Re2MoCl at its relaxed geometry from Alexandria. Energies are from PBE-GGA.

Geometry as POSCAR:
```
Re2MoCl
1.0
-3.628 -3.853 -0.160
-1.054 -5.188 0.069
-0.372 0.016 4.260
Cl Re Mo
1 2 1
Direct
0.750 0.750 0.750
0.537 0.537 0.477
0.963 0.963 0.023
0.250 0.250 0.250
```

Values from the calculation:
As for the energy relative to the elements, uncorrected: 2.43 eV/f.u. As for the energy above the most stable polymorph in this dataset: 35.2 kJ/mol of atoms. Its space group is C2/m, No. 12. The density of states at the Fermi level is 0.8605 states/eV per atom.

(3)
Here is crystalline Ca2AlZnH at its relaxed geometry from Alexandria. Energies are from PBE-GGA.

Geometry as POSCAR:
```
Ca2AlZnH
1.0
4.993 0.000 0.000
0.000 4.993 0.000
0.000 0.000 3.978
H Ca Al Zn
1 2 1 1
Direct
0.000 0.000 0.000
0.000 0.500 0.000
0.500 0.000 0.000
0.500 0.500 0.500
0.000 0.000 0.500
```

Values from the calculation:
As for the energy above the most stable polymorph in this dataset: 0.0 kJ/mol of atoms. Its space group is P4/mmm, No. 123. The density of states at the Fermi level is 0.3762 states/eV per atom.

(4)
Here is crystalline LaTb2SmS4 at its relaxed geometry from Alexandria. Energies are from PBE-GGA.

Geometry as POSCAR:
```
LaTb2SmS4
1.0
-1.021 1.158 -5.454
-5.533 -0.891 0.850
2.592 5.348 3.594
Sm S Tb La
1 4 2 1
Direct
0.437 0.437 0.000
0.437 0.937 0.000
0.937 0.437 0.000
0.684 0.684 0.493
0.190 0.190 0.507
0.687 0.187 0.500
0.187 0.687 0.500
0.937 0.937 0.000
```

Values from the calculation:
As for the energy relative to the elements, uncorrected: -16.22 eV/f.u. Its space group is I4/mmm, No. 139. The density of states at the Fermi level is 0.4397 states/eV per atom.

We obtain ρ values of 7.63 13.22 2.91 6.70 g cm⁻³ for the records listed above, in that order.
We obtain total moment values of 0.000 0.003 0.000 0.000 μB per cell for the records listed above, in that order.